# 1
VASP calculation (PBE-GGA) on a relaxed Ac8Sn6Ge crystal.

It has space group R-3 (No. 148, hexagonal axes), with a = 10.3813 Å, b = 10.3813 Å, c = 19.0143 Å, α = 90.00°, β = 90.00° and γ = 120.00°. Symmetry generates all atoms from Ac at (0.0000, 0.0000, 0.1787), Ac at (0.0220, 0.2598, 0.5920), Sn at (0.0061, 0.5947, 0.5671) and Ge at (0.0000, 0.0000, 0.5000).

The value obtained for the density is 7.30 g cm⁻³. The calculation puts the density of states at the Fermi level at 11.678 states/eV/f.u. Its formation enthalpy at 0 K is -864.7 kJ/mol of formula units. The total magnetization is 0.01 μB/atom.

# 2
VASP calculation (PBE-GGA) on a relaxed Pm2ThP3Rh12 crystal.

It has space group R-3m (No. 166, hexagonal axes), with a = 9.0424 Å, b = 9.0424 Å, c = 12.9714 Å, α = 90.00°, β = 90.00° and γ = 120.00°. Symmetry generates all atoms from Pm at (0.0000, 0.0000, 0.1259), Th at (0.0000, 0.0000, 0.5000), P at (0.0000, 0.5000, 0.0000), Rh at (0.0109, 0.5054, 0.8268) and Rh at (0.0312, 0.5156, 0.3805).

The value obtained for the density is 10.03 g cm⁻³. The calculation puts the density of states at the Fermi level at 15.850 states/eV/f.u. Its formation enthalpy at 0 K is -676.3 kJ/mol of formula units. The total magnetization is 0.00 μB/atom.

# 3
VASP calculation (PBE-GGA) on a relaxed TbHoMgCd crystal.

It has space group F-43m (No. 216), with a = 7.5226 Å, b = 7.5226 Å, c = 7.5226 Å, α = 90.00°, β = 90.00° and γ = 90.00°. Symmetry generates all atoms from Tb at (0.0000, 0.0000, 0.0000), Ho at (0.0000, 0.0000, 0.5000), Mg at (0.2500, 0.2500, 0.2500) and Cd at (0.2500, 0.2500, 0.7500).

The value obtained for the density is 7.19 g cm⁻³. The calculation puts the density of states at the Fermi level at 4.245 states/eV/f.u. Its formation enthalpy at 0 K is -76.9 kJ/mol of formula units. The total magnetization is 0.00 μB/atom.